[1]
This record from Alexandria describes an optimized crystal structure of ErTmMnCd. The functional is PBE.

Cell lengths 5.1051, 5.1051, 5.1051 Å; angles 60.00, 60.00, 60.00 degrees
Sites, in units of the cell vectors:
Er  0.0000  0.0000  0.0000
Tm  0.5000  0.5000  0.5000
Mn  0.7500  0.7500  0.7500
Cd  0.2500  0.2500  0.2500

Values from the calculation:
The calculation puts the total magnetic moment at 0.77 μB per atom. The calculation puts the formation energy at -0.02 eV/atom.

=====

[2]
This record from Alexandria describes an optimized crystal structure of Pr2Sm7Dy. The functional is PBE.

Cell lengths 5.1392, 7.2873, 9.6304 Å; angles 100.75, 105.45, 90.12 degrees
Sites, in units of the cell vectors:
Pr  0.1994  0.1012  0.3990
Pr  0.8006  0.8988  0.6010
Sm  0.0000  0.0000  0.0000
Sm  0.1991  0.5986  0.3981
Sm  0.4015  0.2025  0.8028
Sm  0.4012  0.6986  0.8021
Sm  0.5988  0.3014  0.1979
Sm  0.5985  0.7975  0.1972
Sm  0.8009  0.4014  0.6019
Dy  0.0000  0.5000  0.0000

Values from the calculation:
The calculation puts the total magnetic moment at 0.00 μB per atom. The calculation puts the formation energy at 0.01 eV/atom. The energy above the lowest structure with this stoichiometry comes out at 0.00 eV/f.u.

=====

[3]
This record from Alexandria describes an optimized crystal structure of AcTc4. The functional is PBE.

Cell lengths 4.9080, 4.9080, 4.9080 Å; angles 90.00, 90.00, 90.00 degrees
Sites, in units of the cell vectors:
Ac  0.0000  0.0000  0.0000
Tc  0.0000  0.0000  0.5000
Tc  0.0000  0.5000  0.0000
Tc  0.5000  0.0000  0.0000
Tc  0.5000  0.5000  0.5000

Values from the calculation:
The calculation puts the total magnetic moment at 0.27 μB per atom. The calculation puts the formation energy at 2.87 eV/atom.

=====

[4]
This record from Alexandria describes an optimized crystal structure of MnAlAs2. The functional is PBE.

Cell lengths 4.6180, 4.6180, 4.6180 Å; angles 60.00, 60.00, 60.00 degrees
Sites, in units of the cell vectors:
Mn  0.0000  0.0000  0.0000
Al  0.7500  0.7500  0.7500
As  0.2500  0.2500  0.2500
As  0.5000  0.5000  0.5000

Values from the calculation:
The calculation puts the total magnetic moment at 0.90 μB per atom. The calculation puts the formation energy at 0.37 eV/atom.

=====

[5]
This record from Alexandria describes an optimized crystal structure of CaSm2S3. The functional is PBE.

Cell lengths 4.0238, 4.0238, 9.8310 Å; angles 90.00, 90.00, 120.00 degrees
Sites, in units of the cell vectors:
Ca  0.0000  0.0000  0.0000
Sm  0.3333  0.6667  0.6568
Sm  0.6667  0.3333  0.3432
S  0.0000  0.0000  0.5000
S  0.3333  0.6667  0.1661
S  0.6667  0.3333  0.8339

Values from the calculation:
The formation energy from raw total energies is -2.062 eV/atom. The calculation puts the total magnetic moment at 0.00 μB per atom. The energy above the lowest structure with this stoichiometry comes out at 0.00 eV/f.u.

=====

[6]
This record from Alexandria describes an optimized crystal structure of AsWSN2. The functional is PBE.

Cell lengths 3.7689, 3.7689, 4.5209 Å; angles 90.00, 90.00, 90.00 degrees
Sites, in units of the cell vectors:
As  0.0000  0.0000  0.0000
W  0.5000  0.5000  0.5000
S  0.0000  0.0000  0.5000
N  0.0000  0.5000  0.0000
N  0.5000  0.0000  0.0000

Values from the calculation:
The formation energy from raw total energies is 1.713 eV/atom. The calculation puts the total magnetic moment at 0.00 μB per atom. The energy above the lowest structure with this stoichiometry comes out at 5.75 eV/f.u.

=====

[7]
This record from Alexandria describes an optimized crystal structure of Na3PuPa2N6. The functional is PBE.

Cell lengths 6.1628, 6.1628, 6.0282 Å; angles 99.79, 99.79, 119.99 degrees
Sites, in units of the cell vectors:
Na  0.0000  0.0000  0.0000
Na  0.3390  0.6610  0.0000
Na  0.6610  0.3390  0.0000
Pu  0.5000  0.5000  0.5000
Pa  0.1667  0.8333  0.5000
Pa  0.8333  0.1667  0.5000
N  0.1115  0.4400  0.3195
N  0.2306  0.2306  0.6807
N  0.4400  0.1115  0.3195
N  0.5600  0.8885  0.6805
N  0.7694  0.7694  0.3193
N  0.8885  0.5600  0.6805

Values from the calculation:
The formation energy from raw total energies is -1.062 eV/atom. The calculation puts the total magnetic moment at 0.25 μB per atom.

=====

[8]
This record from Alexandria describes an optimized crystal structure of PmAgSn2. The functional is PBE.

Cell lengths 4.6867, 4.6867, 4.4951 Å; angles 90.00, 90.00, 90.00 degrees
Sites, in units of the cell vectors:
Pm  0.0000  0.0000  0.0000
Ag  0.5000  0.5000  0.0000
Sn  0.0000  0.5000  0.5000
Sn  0.5000  0.0000  0.5000

Values from the calculation:
The calculation puts the total magnetic moment at 0.00 μB per atom. The calculation puts the formation energy at -0.47 eV/atom. The energy above the lowest structure with this stoichiometry comes out at 0.00 eV/f.u.

=====

[9]
This record from Alexandria describes an optimized crystal structure of BePd3W. The functional is PBE.

Cell lengths 4.2140, 4.2140, 4.2140 Å; angles 90.00, 90.00, 90.00 degrees
Sites, in units of the cell vectors:
Be  0.0000  0.0000  0.0000
Pd  0.0000  0.0000  0.5000
Pd  0.0000  0.5000  0.0000
Pd  0.5000  0.0000  0.0000
W  0.5000  0.5000  0.5000

Values from the calculation:
The calculation puts the total magnetic moment at 0.75 μB per atom. The calculation puts the formation energy at 0.43 eV/atom. The energy above the lowest structure with this stoichiometry comes out at 0.00 eV/f.u.

=====

[10]
This record from Alexandria describes an optimized crystal structure of HoGaPbAu. The functional is PBE.

Cell lengths 5.0909, 5.0909, 5.0909 Å; angles 60.00, 60.00, 60.00 degrees
Sites, in units of the cell vectors:
Ho  0.0000  0.0000  0.0000
Ga  0.2500  0.2500  0.2500
Pb  0.5000  0.5000  0.5000
Au  0.7500  0.7500  0.7500

Values from the calculation:
The calculation puts the total magnetic moment at 0.00 μB per atom. The calculation puts the formation energy at -0.35 eV/atom.

=====

[11]
This record from Alexandria describes an optimized crystal structure of Zn2OsRu. The functional is PBE.

Cell lengths 4.3057, 4.3057, 4.3057 Å; angles 60.00, 60.00, 60.00 degrees
Sites, in units of the cell vectors:
Zn  0.0000  0.0000  0.0000
Zn  0.2500  0.2500  0.2500
Os  0.5000  0.5000  0.5000
Ru  0.7500  0.7500  0.7500

Values from the calculation:
The calculation puts the total magnetic moment at 0.00 μB per atom. The calculation puts the formation energy at 0.23 eV/atom. The energy above the lowest structure with this stoichiometry comes out at 0.91 eV/f.u.

=====

[12]
This record from Alexandria describes an optimized crystal structure of BeCu2Pt2. The functional is PBE.

Cell lengths 5.9001, 5.9001, 4.0254 Å; angles 90.00, 90.00, 90.00 degrees
Sites, in units of the cell vectors:
Be  0.0000  0.0000  0.0000
Be  0.5000  0.5000  0.0000
Cu  0.1531  0.3469  0.5000
Cu  0.3469  0.8469  0.5000
Cu  0.6531  0.1531  0.5000
Cu  0.8469  0.6531  0.5000
Pt  0.1563  0.6563  0.0000
Pt  0.3437  0.1563  0.0000
Pt  0.6563  0.8437  0.0000
Pt  0.8437  0.3437  0.0000

Values from the calculation:
The calculation puts the total magnetic moment at 0.00 μB per atom. The calculation puts the formation energy at -0.20 eV/atom. The energy above the lowest structure with this stoichiometry comes out at 1.04 eV/f.u.

=====

[13]
This record from Alexandria describes an optimized crystal structure of V2CdReC. The functional is PBE.

Cell lengths 4.8408, 4.8408, 3.9743 Å; angles 90.00, 90.00, 90.00 degrees
Sites, in units of the cell vectors:
V  0.0000  0.5000  0.0000
V  0.5000  0.0000  0.0000
Cd  0.0000  0.0000  0.5000
Re  0.5000  0.5000  0.0000
C  0.5000  0.5000  0.5000

Values from the calculation:
The calculation puts the total magnetic moment at 0.79 μB per atom. The calculation puts the formation energy at 1.25 eV/atom. The energy above the lowest structure with this stoichiometry comes out at 0.00 eV/f.u.

=====

[14]
This record from Alexandria describes an optimized crystal structure of InAsH3. The functional is PBE.

Cell lengths 3.9239, 3.9239, 3.9239 Å; angles 90.00, 90.00, 90.00 degrees
Sites, in units of the cell vectors:
In  0.0000  0.0000  0.0000
As  0.5000  0.5000  0.5000
H  0.0000  0.5000  0.5000
H  0.5000  0.0000  0.5000
H  0.5000  0.5000  0.0000

Values from the calculation:
The calculation puts the total magnetic moment at 0.00 μB per atom. The energy above the lowest structure with this stoichiometry comes out at 0.00 eV/f.u.

=====

[15]
This record from Alexandria describes an optimized crystal structure of Mg2Al2Ga5. The functional is PBE.

Cell lengths 7.8231, 7.8231, 7.2416 Å; angles 90.00, 90.00, 54.85 degrees
Sites, in units of the cell vectors:
Mg  0.2189  0.2189  0.0000
Mg  0.2811  0.2811  0.5000
Mg  0.7189  0.7189  0.5000
Mg  0.7811  0.7811  0.0000
Al  0.1253  0.8747  0.6304
Al  0.3747  0.6253  0.1304
Al  0.6253  0.3747  0.8696
Al  0.8747  0.1253  0.3696
Ga  0.0000  0.0000  0.0000
Ga  0.0565  0.6920  0.3262
Ga  0.1920  0.5565  0.8262
Ga  0.3080  0.9435  0.3262
Ga  0.4435  0.8080  0.8262
Ga  0.5000  0.5000  0.5000
Ga  0.5565  0.1920  0.1738
Ga  0.6920  0.0565  0.6738
Ga  0.8080  0.4435  0.1738
Ga  0.9435  0.3080  0.6738

Values from the calculation:
The calculation puts the total magnetic moment at 0.00 μB per atom. The calculation puts the formation energy at 0.05 eV/atom. The energy above the lowest structure with this stoichiometry comes out at 0.54 eV/f.u.

=====

[16]
This record from Alexandria describes an optimized crystal structure of ZrRh2I. The functional is PBE.

Cell lengths 4.7410, 4.7410, 4.7410 Å; angles 60.00, 60.00, 60.00 degrees
Sites, in units of the cell vectors:
Zr  0.0000  0.0000  0.0000
Rh  0.2500  0.2500  0.2500
Rh  0.7500  0.7500  0.7500
I  0.5000  0.5000  0.5000

Values from the calculation:
The formation energy from raw total energies is 0.043 eV/atom. The calculation puts the total magnetic moment at 0.00 μB per atom. The energy above the lowest structure with this stoichiometry comes out at 0.00 eV/f.u.